A geometry-optimized CeNd5Au6 structure, computed with GGA-PBE.

Unit cell a=5.282 b=7.372 c=8.333 alpha=90.00 beta=108.07 gamma=90.00
Positions (direct):
Ce  0.000  0.000  0.000
Nd  0.000  0.500  0.000
Nd  0.332  0.000  0.666
Nd  0.332  0.500  0.667
Nd  0.668  0.000  0.334
Nd  0.668  0.500  0.333
Au  0.168  0.250  0.333
Au  0.168  0.750  0.333
Au  0.500  0.248  0.000
Au  0.500  0.752  0.000
Au  0.832  0.250  0.667
Au  0.832  0.750  0.667

symmetry: No. 10


A geometry-optimized ZnCu3P structure, computed with GGA-PBE.

Unit cell a=4.382 b=4.382 c=4.382 alpha=90.00 beta=90.00 gamma=90.00
Positions (direct):
Zn  0.000  0.000  0.000
Cu  0.000  0.500  0.500
Cu  0.500  0.000  0.500
Cu  0.500  0.500  0.000
P  0.500  0.500  0.500

symmetry: No. 221
E above lowest polymorph: 0 meV/atom


What did we get for E? Answer: -58.20; -17.73 eV for the cell shown, in the order shown.
What did we get for energy relative to the elements? Answer: -0.73; 0.25 eV/atom, in the order shown.